1.
Below is BaDyFe2O5 after structural relaxation, with properties calculated at the PBE+U level.

Cell lengths 3.979, 3.979, 7.603 Å; angles 90.00, 90.00, 90.00 degrees
Last column: magnetic moment on the atom in μB.
Atoms (fractional coordinates):
O: 0.500 0.000 0.815  0.14
O: 0.500 0.500 0.500  0.20
O: 0.500 0.000 0.185  0.14
O: 0.000 0.500 0.185  0.14
O: 0.000 0.500 0.815  0.14
Dy: 0.000 0.000 0.000  -0.01
Fe: 0.500 0.500 0.231  4.08
Fe: 0.500 0.500 0.769  4.08
Ba: 0.000 0.000 0.500  -0.01

Output
energy = -7.023 eV/atom
crystal system = tetragonal
SG = P4/mmm, No. 123
Fermi-level density of states = 0.05 states/eV/f.u.

---

2.
Below is Ba3DyUFeO9 after structural relaxation, with properties calculated at the PBE+U level.

Cell lengths 5.953, 5.953, 17.317 Å; angles 90.00, 90.00, 120.00 degrees
Last column: magnetic moment on the atom in μB.
Atoms (fractional coordinates):
Ba: 0.667 0.333 0.185  0.00
Ba: 0.667 0.333 0.947  0.00
Ba: 0.333 0.667 0.553  0.00
Ba: 0.333 0.667 0.055  0.00
Ba: 0.000 0.000 0.698  0.00
Ba: 0.333 0.667 0.819  0.00
O: 0.505 0.495 0.706  0.00
O: 0.834 0.166 0.069  0.00
O: 0.165 0.331 0.932  0.00
O: 0.505 0.011 0.706  0.00
O: 0.989 0.495 0.706  0.00
O: 0.501 0.003 0.305  -0.02
O: 0.156 0.312 0.425  0.05
O: 0.321 0.160 0.570  0.07
O: 0.501 0.499 0.305  -0.02
O: 0.165 0.835 0.932  0.00
O: 0.834 0.668 0.069  0.00
O: 0.688 0.844 0.425  0.05
O: 0.840 0.679 0.570  0.07
O: 0.332 0.166 0.069  0.00
O: 0.669 0.835 0.932  0.00
O: 0.156 0.844 0.425  0.05
O: 0.840 0.160 0.570  0.07
O: 0.997 0.499 0.305  -0.02
U: 0.667 0.333 0.638  0.11
U: 0.000 0.000 0.001  0.00
Dy: 0.000 0.000 0.338  0.00
Dy: 0.667 0.333 0.385  -0.01
Fe: 0.000 0.000 0.502  4.27
Fe: 0.333 0.667 0.359  1.25

Output
energy = -7.403 eV/atom
crystal system = trigonal
SG = P3m1, No. 156
Fermi-level density of states = 0.00 states/eV/f.u.